VASP calculation (PBE with a Hubbard U) on a relaxed structure of MnAgPtO4.

```
MnAgPtO4
1.0
-0.4799 -4.0990 4.3521
0.3809 -1.9790 -5.9547
5.1276 2.5668 2.9828
Pt O Mn Ag
2 8 2 2
Cartesian
-0.2399 -2.0495 2.1761 Pt
2.3238 -0.7661 3.6675 Pt
1.7271 -1.3626 -1.0929 O
1.2528 -3.1742 1.2814 O
1.2649 -0.6451 1.8822 O
3.7636 -2.8661 -0.5020 O
1.0579 -2.4130 3.7593 O
3.3014 -2.1487 2.4731 O
3.9706 -1.0983 -2.3790 O
3.7758 -0.3371 0.0988 O
2.5143 -1.7556 0.6901 Mn
2.7542 0.2939 -1.4859 Mn
4.6507 1.1080 1.5564 Ag
0.3779 -4.6193 -0.1761 Ag
```

Values from the calculation:
SG: Imma (74)
E_tot, eV for the cell shown: -81.195